1.
U2Ir9W: relaxed, PBE.

Properties
Density in g/cm3: 20.6

Lattice parameters (Å, degrees): 3.9984 3.9984 12.0210 90.00 90.00 90.00
Last column: nearest neighbours and their distance in Å.
Space group P4/mmm (No. 123)
One atom of each set of equivalent atoms:
U  0.0000  0.0000  0.1682  12 Ir 2.83-2.90
Ir  0.0000  0.5000  0.0000  8 Ir 2.83-2.88, 4 U 2.84
Ir  0.0000  0.5000  0.3435  8 Ir 2.75-2.87, 2 W 2.75, 2 U 2.90
Ir  0.5000  0.5000  0.1726  4 U 2.83, 8 Ir 2.87-2.88
Ir  0.5000  0.5000  0.5000  8 Ir 2.75, 4 W 2.83
W  0.0000  0.0000  0.5000  12 Ir 2.75-2.83


2.
ErMg3Cu8: relaxed, PBE.

Properties
Density in g/cm3: 6.9

Lattice parameters (Å, degrees): 5.0359 5.0359 24.6700 90.00 90.00 120.00
Last column: nearest neighbours and their distance in Å.
Space group R3m (No. 160, hexagonal axes)
One atom of each set of equivalent atoms:
Er  0.0000  0.0000  0.0000  12 Cu 2.96-2.99, 4 Mg 3.15-3.17
Mg  0.0000  0.0000  0.1284  12 Cu 2.85-2.99, 3 Mg 3.04, 1 Er 3.17
Mg  0.0000  0.0000  0.4973  12 Cu 2.89-2.97, 4 Mg 2.98-3.04
Mg  0.0000  0.0000  0.6180  12 Cu 2.88-3.11, 1 Mg 2.98, 3 Er 3.15
Cu  0.0000  0.0000  0.3112  6 Cu 2.52-2.55
Cu  0.0000  0.0000  0.8119  6 Cu 2.50
Cu  0.9996  0.4998  0.0629  6 Cu 2.50-2.55
Cu  0.1670  0.3340  0.8943  6 Cu 2.50-2.52


Formation energy readings, ordered: -483; -187 meV/atom